Compound: TaNbB
Source: OQMD
Functional: GGA-PBE
Structure: relaxed

**Distance to the lowest polymorph of the same formula**: 0.00 eV per formula unit
**Calculated total energy**: -30.18 eV/f.u.

a = 7.975 Å, b = 7.975 Å, c = 3.205 Å
α = 90.00°, β = 90.00°, γ = 156.01°
Element x y z (fractional)
Ta: 0.197 0.803 0.750
Ta: 0.803 0.197 0.250
Nb: 0.417 0.583 0.750
Nb: 0.583 0.417 0.250
B: 0.032 0.968 0.750
B: 0.968 0.032 0.250



Compound: Ta2Nb3B6
Source: OQMD
Functional: GGA-PBE
Structure: relaxed

**Distance to the lowest polymorph of the same formula**: 0.00 eV per formula unit
**Calculated total energy**: -102.66 eV/f.u.

a = 11.518 Å, b = 11.518 Å, c = 3.311 Å
α = 90.00°, β = 90.00°, γ = 164.22°
Element x y z (fractional)
Ta: 0.194 0.806 0.000
Ta: 0.806 0.194 0.000
Nb: 0.000 0.000 0.500
Nb: 0.386 0.614 0.500
Nb: 0.614 0.386 0.500
B: 0.082 0.918 0.000
B: 0.273 0.727 0.500
B: 0.460 0.540 0.000
B: 0.540 0.460 0.000
B: 0.727 0.273 0.500
B: 0.918 0.082 0.000



Compound: TaNb4B6
Source: OQMD
Functional: GGA-PBE
Structure: relaxed

**Calculated total energy**: -100.73 eV/f.u.

a = 11.539 Å, b = 11.539 Å, c = 3.310 Å
α = 90.00°, β = 90.00°, γ = 164.25°
Element x y z (fractional)
Ta: 0.000 0.000 0.000
Nb: 0.194 0.806 0.500
Nb: 0.386 0.614 0.000
Nb: 0.614 0.386 0.000
Nb: 0.806 0.194 0.500
B: 0.081 0.919 0.500
B: 0.272 0.728 0.000
B: 0.461 0.539 0.500
B: 0.539 0.461 0.500
B: 0.728 0.272 0.000
B: 0.919 0.081 0.500



Compound: Ta2Nb3B6
Source: OQMD
Functional: GGA-PBE
Structure: relaxed

**Distance to the lowest polymorph of the same formula**: 0.03 eV per formula unit
**Calculated total energy**: -102.64 eV/f.u.

a = 11.516 Å, b = 11.516 Å, c = 3.313 Å
α = 90.00°, β = 90.00°, γ = 164.22°
Element x y z (fractional)
Ta: 0.114 0.886 0.000
Ta: 0.886 0.114 0.000
Nb: 0.306 0.694 0.500
Nb: 0.500 0.500 0.000
Nb: 0.694 0.306 0.500
B: 0.040 0.960 0.500
B: 0.227 0.773 0.000
B: 0.418 0.582 0.500
B: 0.582 0.418 0.500
B: 0.773 0.227 0.000
B: 0.960 0.040 0.500